A relaxed structure of CaTePbI2. Source: the Alexandria database, functional PBE.

Summary:
VASP energy	-14.795	eV for the cell shown
formation energy (no corrections)	-0.569	eV per atom
distance to the lowest polymorph of the same formula	0.0	meV/atom

Lattice parameters (Å, degrees): 5.832 5.832 6.218 90.00 90.00 90.00
Space group P4/mmm (No. 123)
Asymmetric unit:
Ca  0.000  0.000  0.000 [1 per cell]
Te  0.000  0.000  0.500 [1 per cell]
Pb  0.500  0.500  0.500 [1 per cell]
I  0.000  0.500  0.000 [2 per cell]